A relaxed structure of Tb2DyY9, computed with PBE.

Unit cell a=5.0457 b=5.0457 c=15.1361 alpha=90.00 beta=90.00 gamma=90.00
Positions (direct):
Tb 0.0000 0.0000 0.3332
Tb 0.0000 0.0000 0.6668
Dy 0.0000 0.0000 0.0000
Y 0.5000 0.5000 0.0000
Y 0.5000 0.5000 0.3332
Y 0.5000 0.5000 0.6668
Y 0.5000 0.0000 0.1664
Y 0.5000 0.0000 0.5000
Y 0.5000 0.0000 0.8336
Y 0.0000 0.5000 0.1664
Y 0.0000 0.5000 0.5000
Y 0.0000 0.5000 0.8336

Output
N(E_F) ... 18.1 states/eV/f.u.
Energy of formation ... 0.0242 eV per atom